# PrNd2Au | Alexandria | GGA-PBE | optimized geometry
data_PrNd2Au
_symmetry_space_group_name_H-M 'P n m a'
_symmetry_Int_Tables_number 62
_cell_length_a 7.219
_cell_length_b 10.349
_cell_length_c 6.784
_cell_angle_alpha 90.00
_cell_angle_beta 90.00
_cell_angle_gamma 90.00
loop_
_symmetry_equiv_pos_as_xyz
'x,y,z'
'-x,-y,-z'
'-x+1/2,-y,z+1/2'
'x+1/2,y,-z+1/2'
'x+1/2,-y+1/2,-z+1/2'
'-x+1/2,y+1/2,z+1/2'
'-x,y+1/2,-z'
'x,-y+1/2,z'
loop_
_atom_site_label
_atom_site_fract_x
_atom_site_fract_y
_atom_site_fract_z
Pr1 0.012 0.250 0.134
Nd1 0.192 0.053 0.674
Au1 0.105 0.750 0.428
# Calculated volume in Å³ per cell: 506.81
# Energy of formation from the pure elements in eV/atom: -0.39
# Relative energy among the computed polymorphs in kJ/mol of atoms: 0.0
# VASP energy in eV per atom: -4.79